Entry from the Alexandria database: a relaxed Tl2RuF2 crystal (PBE).

**Space-group type**: P4/mmm, No. 123

a = 4.326 Å, b = 4.326 Å, c = 5.505 Å
α = 90.00°, β = 90.00°, γ = 90.00°
Fractional coordinates of all 5 atoms:
Tl (0.000, 0.000, 0.000)
Tl (0.500, 0.500, 0.000)
Ru (0.000, 0.000, 0.500)
F (0.000, 0.500, 0.500)
F (0.500, 0.000, 0.500)


Entry from the Alexandria database: a relaxed HoSc2Ir crystal (PBE).

**Space-group type**: P4/mmm, No. 123
**Energy above the most stable polymorph in this dataset**: 0.124 eV/atom

a = 3.254 Å, b = 3.254 Å, c = 8.418 Å
α = 90.00°, β = 90.00°, γ = 90.00°
Fractional coordinates of all 4 atoms:
Ho (0.000, 0.000, 0.000)
Sc (0.500, 0.500, 0.311)
Sc (0.500, 0.500, 0.689)
Ir (0.000, 0.000, 0.500)


Entry from the Alexandria database: a relaxed Sc8CSe3S3 crystal (PBE).

**Space-group type**: R-3m, No. 166

a = 7.548 Å, b = 7.548 Å, c = 7.548 Å
α = 58.66°, β = 58.66°, γ = 58.66°
Fractional coordinates of all 15 atoms:
Sc (0.240, 0.240, 0.240)
Sc (0.270, 0.718, 0.718)
Sc (0.282, 0.282, 0.730)
Sc (0.282, 0.730, 0.282)
Sc (0.718, 0.270, 0.718)
Sc (0.718, 0.718, 0.270)
Sc (0.730, 0.282, 0.282)
Sc (0.760, 0.760, 0.760)
C (0.500, 0.500, 0.500)
Se (0.000, 0.500, 0.500)
Se (0.500, 0.000, 0.500)
Se (0.500, 0.500, 0.000)
S (0.000, 0.000, 0.500)
S (0.000, 0.500, 0.000)
S (0.500, 0.000, 0.000)


Entry from the Alexandria database: a relaxed Mn5Co crystal (PBE).

**Space-group type**: F-43m, No. 216
**Energy above the most stable polymorph in this dataset**: 0.207 eV/atom

a = 4.578 Å, b = 4.578 Å, c = 4.578 Å
α = 60.00°, β = 60.00°, γ = 60.00°
Fractional coordinates of all 6 atoms:
Mn (0.000, 0.000, 0.000)
Mn (0.376, 0.376, 0.376)
Mn (0.376, 0.376, 0.873)
Mn (0.376, 0.873, 0.376)
Mn (0.873, 0.376, 0.376)
Co (0.750, 0.750, 0.750)


Entry from the Alexandria database: a relaxed Ba3Li2NpO8 crystal (PBE).

**Space-group type**: P-3m1, No. 164

a = 5.894 Å, b = 5.894 Å, c = 7.712 Å
α = 90.00°, β = 90.00°, γ = 120.00°
Fractional coordinates of all 14 atoms:
Ba (0.000, 0.000, 0.000)
Ba (0.333, 0.667, 0.668)
Ba (0.667, 0.333, 0.332)
Li (0.333, 0.667, 0.227)
Li (0.667, 0.333, 0.773)
Np (0.000, 0.000, 0.500)
O (0.159, 0.319, 0.343)
O (0.159, 0.841, 0.343)
O (0.319, 0.159, 0.657)
O (0.333, 0.667, 0.988)
O (0.667, 0.333, 0.012)
O (0.681, 0.841, 0.343)
O (0.841, 0.159, 0.657)
O (0.841, 0.681, 0.657)


Entry from the Alexandria database: a relaxed GeHS3 crystal (PBE).

**Space-group type**: Pm-3m, No. 221
**Energy above the most stable polymorph in this dataset**: 0.707 eV/atom

a = 4.170 Å, b = 4.170 Å, c = 4.170 Å
α = 90.00°, β = 90.00°, γ = 90.00°
Fractional coordinates of all 5 atoms:
Ge (0.000, 0.000, 0.000)
H (0.500, 0.500, 0.500)
S (0.000, 0.500, 0.500)
S (0.500, 0.000, 0.500)
S (0.500, 0.500, 0.000)


Entry from the Alexandria database: a relaxed RbSr2Pb2 crystal (PBE).

**Space-group type**: P4/mbm, No. 127
**Energy above the most stable polymorph in this dataset**: 0.000 eV/atom

a = 10.311 Å, b = 10.311 Å, c = 3.682 Å
α = 90.00°, β = 90.00°, γ = 90.00°
Fractional coordinates of all 10 atoms:
Rb (0.000, 0.000, 0.000)
Rb (0.500, 0.500, 0.000)
Sr (0.127, 0.373, 0.000)
Sr (0.373, 0.873, 0.000)
Sr (0.627, 0.127, 0.000)
Sr (0.873, 0.627, 0.000)
Pb (0.172, 0.672, 0.500)
Pb (0.328, 0.172, 0.500)
Pb (0.672, 0.828, 0.500)
Pb (0.828, 0.328, 0.500)


Entry from the Alexandria database: a relaxed LaAl2Pt crystal (PBE).

**Space-group type**: Imm2, No. 44

a = 4.935 Å, b = 4.935 Å, c = 4.935 Å
α = 123.01°, β = 113.52°, γ = 93.22°
Fractional coordinates of all 4 atoms:
La (0.000, 0.000, 0.000)
Al (0.483, 0.483, 0.000)
Al (0.711, 0.211, 0.500)
Pt (0.320, 0.820, 0.500)


Entry from the Alexandria database: a relaxed Ca2AsI crystal (PBE).

**Space-group type**: R-3m, No. 166

a = 7.923 Å, b = 7.923 Å, c = 7.923 Å
α = 32.24°, β = 32.24°, γ = 32.24°
Fractional coordinates of all 4 atoms:
Ca (0.231, 0.231, 0.231)
Ca (0.769, 0.769, 0.769)
As (0.500, 0.500, 0.500)
I (0.000, 0.000, 0.000)


Entry from the Alexandria database: a relaxed NaGe2F5 crystal (PBE).

**Space-group type**: Pbcn, No. 60

a = 7.478 Å, b = 11.292 Å, c = 6.700 Å
α = 90.00°, β = 90.00°, γ = 90.00°
Fractional coordinates of all 32 atoms:
Na (0.000, 0.051, 0.250)
Na (0.000, 0.949, 0.750)
Na (0.500, 0.449, 0.750)
Na (0.500, 0.551, 0.250)
Ge (0.114, 0.342, 0.004)
Ge (0.114, 0.658, 0.504)
Ge (0.386, 0.158, 0.504)
Ge (0.386, 0.842, 0.004)
Ge (0.614, 0.158, 0.996)
Ge (0.614, 0.842, 0.496)
Ge (0.886, 0.342, 0.496)
Ge (0.886, 0.658, 0.996)
F (0.000, 0.420, 0.250)
F (0.000, 0.580, 0.750)
F (0.169, 0.076, 0.548)
F (0.169, 0.924, 0.048)
F (0.187, 0.213, 0.162)
F (0.187, 0.787, 0.662)
F (0.313, 0.287, 0.662)
F (0.313, 0.713, 0.162)
F (0.331, 0.424, 0.048)
F (0.331, 0.576, 0.548)
F (0.500, 0.080, 0.750)
F (0.500, 0.920, 0.250)
F (0.669, 0.424, 0.452)
F (0.669, 0.576, 0.952)
F (0.687, 0.287, 0.838)
F (0.687, 0.713, 0.338)
F (0.813, 0.213, 0.338)
F (0.813, 0.787, 0.838)
F (0.831, 0.076, 0.952)
F (0.831, 0.924, 0.452)


Entry from the Alexandria database: a relaxed KScAl crystal (PBE).

**Space-group type**: F-43m, No. 216
**Energy above the most stable polymorph in this dataset**: 0.954 eV/atom

a = 5.134 Å, b = 5.134 Å, c = 5.134 Å
α = 60.00°, β = 60.00°, γ = 60.00°
Fractional coordinates of all 3 atoms:
K (0.000, 0.000, 0.000)
Sc (0.750, 0.750, 0.750)
Al (0.250, 0.250, 0.250)


Entry from the Alexandria database: a relaxed SmPd6Pt6 crystal (PBE).

**Space-group type**: Immm, No. 71

a = 6.985 Å, b = 6.985 Å, c = 6.985 Å
α = 135.17°, β = 98.87°, γ = 97.85°
Fractional coordinates of all 13 atoms:
Sm (0.000, 0.000, 0.000)
Pd (0.202, 0.702, 0.500)
Pd (0.346, 0.000, 0.346)
Pd (0.348, 0.348, 0.000)
Pd (0.652, 0.652, 0.000)
Pd (0.654, 0.000, 0.654)
Pd (0.798, 0.298, 0.500)
Pt (0.000, 0.000, 0.500)
Pt (0.000, 0.500, 0.000)
Pt (0.227, 0.500, 0.727)
Pt (0.500, 0.000, 0.000)
Pt (0.500, 0.500, 0.500)
Pt (0.773, 0.500, 0.273)


Entry from the Alexandria database: a relaxed BaBiH crystal (PBE).

**Space-group type**: I4mm, No. 107
**Energy above the most stable polymorph in this dataset**: 0.194 eV/atom

a = 5.356 Å, b = 5.356 Å, c = 5.356 Å
α = 122.78°, β = 122.78°, γ = 85.25°
Fractional coordinates of all 3 atoms:
Ba (0.000, 0.000, 0.000)
Bi (0.566, 0.566, 0.000)
H (0.333, 0.333, 0.000)


Entry from the Alexandria database: a relaxed PaIn3Hg2Br6 crystal (PBE).

**Space-group type**: C2/m, No. 12

a = 9.295 Å, b = 9.295 Å, c = 7.094 Å
α = 93.14°, β = 93.14°, γ = 52.39°
Fractional coordinates of all 12 atoms:
Pa (0.000, 0.000, 0.000)
In (0.000, 0.500, 0.000)
In (0.500, 0.000, 0.000)
In (0.500, 0.500, 0.500)
Hg (0.350, 0.350, 0.247)
Hg (0.650, 0.650, 0.753)
Br (0.127, 0.127, 0.755)
Br (0.156, 0.675, 0.781)
Br (0.325, 0.844, 0.219)
Br (0.675, 0.156, 0.781)
Br (0.844, 0.325, 0.219)
Br (0.873, 0.873, 0.245)


Entry from the Alexandria database: a relaxed Er3MgFe crystal (PBE).

**Space-group type**: Pm-3m, No. 221
**Energy above the most stable polymorph in this dataset**: 0.079 eV/atom

a = 5.150 Å, b = 5.150 Å, c = 5.150 Å
α = 90.00°, β = 90.00°, γ = 90.00°
Fractional coordinates of all 5 atoms:
Er (0.000, 0.000, 0.500)
Er (0.000, 0.500, 0.000)
Er (0.500, 0.000, 0.000)
Mg (0.500, 0.500, 0.500)
Fe (0.000, 0.000, 0.000)


Entry from the Alexandria database: a relaxed GaMoS2 crystal (PBE).

**Space-group type**: R-3m, No. 166

a = 9.041 Å, b = 9.041 Å, c = 9.041 Å
α = 20.16°, β = 20.16°, γ = 20.16°
Fractional coordinates of all 4 atoms:
Ga (0.000, 0.000, 0.000)
Mo (0.500, 0.500, 0.500)
S (0.106, 0.106, 0.106)
S (0.894, 0.894, 0.894)


Entry from the Alexandria database: a relaxed Li3HSe crystal (PBE).

**Space-group type**: Pm-3m, No. 221
**Energy above the most stable polymorph in this dataset**: 0.401 eV/atom

a = 4.776 Å, b = 4.776 Å, c = 4.776 Å
α = 90.00°, β = 90.00°, γ = 90.00°
Fractional coordinates of all 5 atoms:
Li (0.000, 0.000, 0.500)
Li (0.000, 0.500, 0.000)
Li (0.500, 0.000, 0.000)
H (0.500, 0.500, 0.500)
Se (0.000, 0.000, 0.000)


Entry from the Alexandria database: a relaxed Sc2TiCoB crystal (PBE).

**Space-group type**: P4/mmm, No. 123

a = 4.929 Å, b = 4.929 Å, c = 4.034 Å
α = 90.00°, β = 90.00°, γ = 90.00°
Fractional coordinates of all 5 atoms:
Sc (0.000, 0.500, 0.000)
Sc (0.500, 0.000, 0.000)
Ti (0.000, 0.000, 0.000)
Co (0.000, 0.000, 0.500)
B (0.500, 0.500, 0.500)


Entry from the Alexandria database: a relaxed TlMo2S crystal (PBE).

**Space-group type**: I-42d, No. 122
**Energy above the most stable polymorph in this dataset**: 0.000 eV/atom

a = 9.369 Å, b = 9.369 Å, c = 9.369 Å
α = 153.73°, β = 153.73°, γ = 37.49°
Fractional coordinates of all 8 atoms:
Tl (0.000, 0.000, 0.000)
Tl (0.750, 0.250, 0.500)
Mo (0.220, 0.625, 0.095)
Mo (0.375, 0.470, 0.595)
Mo (0.530, 0.125, 0.905)
Mo (0.875, 0.780, 0.405)
S (0.250, 0.750, 0.500)
S (0.500, 0.500, 0.000)


Entry from the Alexandria database: a relaxed Fe3SiNi crystal (PBE).

**Space-group type**: P2_13, No. 198
**Energy above the most stable polymorph in this dataset**: 0.000 eV/atom

a = 6.106 Å, b = 6.106 Å, c = 6.106 Å
α = 90.00°, β = 90.00°, γ = 90.00°
Fractional coordinates of all 20 atoms:
Fe (0.047, 0.123, 0.794)
Fe (0.123, 0.794, 0.047)
Fe (0.206, 0.547, 0.377)
Fe (0.294, 0.453, 0.877)
Fe (0.377, 0.206, 0.547)
Fe (0.453, 0.877, 0.294)
Fe (0.547, 0.377, 0.206)
Fe (0.623, 0.706, 0.953)
Fe (0.706, 0.953, 0.623)
Fe (0.794, 0.047, 0.123)
Fe (0.877, 0.294, 0.453)
Fe (0.953, 0.623, 0.706)
Si (0.063, 0.937, 0.437)
Si (0.437, 0.063, 0.937)
Si (0.563, 0.563, 0.563)
Si (0.937, 0.437, 0.063)
Ni (0.185, 0.185, 0.185)
Ni (0.315, 0.815, 0.685)
Ni (0.685, 0.315, 0.815)
Ni (0.815, 0.685, 0.315)


Entry from the Alexandria database: a relaxed AsAuBr2 crystal (PBE).

**Space-group type**: Cmmm, No. 65
**Energy above the most stable polymorph in this dataset**: 0.572 eV/atom

a = 3.754 Å, b = 3.754 Å, c = 8.426 Å
α = 90.00°, β = 90.00°, γ = 122.40°
Fractional coordinates of all 4 atoms:
As (0.000, 0.000, 0.000)
Au (0.000, 0.000, 0.500)
Br (0.500, 0.500, 0.259)
Br (0.500, 0.500, 0.741)


no.,DFT total energy (eV per atom)
1,-4.1112
2,-6.9999
3,-7.0246
4,-8.6266
5,-6.8199
6,-3.2268
7,-2.7178
8,-5.2076
9,-3.9566
10,-4.8050
11,-2.5727
12,-5.8565
13,-3.4173
14,-3.1466
15,-4.6889
16,-5.9392
17,-3.0221
18,-5.5510
19,-6.4113
20,-7.5748
21,-2.4656